Ni3PdN GGA-PBE optimized geometry; theoretical density = 8.93 g/cm3; uncorrected formation energy = 0.118 eV/atom
1.0
9.846 0.000 0.632
3.927 5.382 -1.828
-3.927 5.382 1.828
Ni Pd N
12 4 4
Direct
0.416 0.393 0.468 Ni
0.084 0.968 0.893 Ni
0.584 0.607 0.532 Ni
0.916 0.032 0.107 Ni
0.088 0.228 0.158 Ni
0.412 0.658 0.728 Ni
0.912 0.772 0.842 Ni
0.588 0.342 0.272 Ni
0.580 0.869 0.761 Ni
0.920 0.261 0.369 Ni
0.420 0.131 0.239 Ni
0.080 0.739 0.631 Ni
0.085 0.484 0.388 Pd
0.415 0.888 0.984 Pd
0.915 0.516 0.612 Pd
0.585 0.112 0.016 Pd
0.750 0.181 0.681 N
0.250 0.819 0.319 N
0.750 0.461 0.961 N
0.250 0.539 0.039 N

Mg4SiTe6 GGA-PBE optimized geometry; theoretical density = 4.10 g/cm3; uncorrected formation energy = -0.625 eV/atom
1.0
-7.460 1.938 1.980
-4.988 -5.638 2.718
-0.243 1.356 13.747
Mg Si Te
8 2 12
Direct
0.298 0.979 0.644 Mg
0.079 0.479 0.144 Mg
0.768 0.216 0.460 Mg
0.556 0.716 0.960 Mg
0.920 0.666 0.653 Mg
0.761 0.166 0.153 Mg
0.667 0.244 0.807 Mg
0.282 0.744 0.307 Mg
0.686 0.781 0.397 Si
0.136 0.281 0.897 Si
0.409 0.527 0.145 Te
0.919 0.027 0.645 Te
0.476 0.607 0.480 Te
0.437 0.107 0.980 Te
0.478 0.112 0.448 Te
0.961 0.612 0.948 Te
0.948 0.087 0.949 Te
0.017 0.587 0.449 Te
0.018 0.152 0.265 Te
0.564 0.652 0.765 Te
0.263 0.316 0.707 Te
0.714 0.816 0.207 Te

Pm2Ge2BRu2 GGA-PBE optimized geometry; theoretical density = 8.08 g/cm3; ΔH_f (0 K) = -711.5 meV/atom
1.0
4.298 0.000 0.000
2.149 5.606 -0.521
2.149 1.566 5.381
Pm Ge B Ru
2 2 1 2
Direct
0.562 0.175 0.702 Pm
0.438 0.825 0.298 Pm
0.162 0.387 0.288 Ge
0.838 0.613 0.712 Ge
0.000 0.000 0.000 B
0.208 0.686 0.899 Ru
0.792 0.314 0.101 Ru

CsFeRe2Pd GGA-PBE optimized geometry; theoretical density = 8.37 g/cm3; ΔH_f (0 K) = 2749.2 meV/atom
1.0
-3.240 3.480 -0.339
-0.575 -1.089 -5.693
-3.465 -3.134 0.950
Cs Re Fe Pd
1 2 1 1
Direct
0.000 0.500 0.000 Cs
0.000 0.000 0.500 Re
0.500 0.000 0.000 Re
0.500 0.500 0.500 Fe
0.000 0.000 0.000 Pd

Dy5TmRu6 GGA-PBE optimized geometry; theoretical density = 11.29 g/cm3; ΔH_f (0 K) = -336.3 meV/atom
1.0
4.633 0.000 -1.296
-3.458 6.689 -3.459
-0.189 -0.966 8.228
Ru Tm Dy
6 1 5
Direct
0.249 0.083 0.416 Ru
0.751 0.584 0.917 Ru
0.748 0.249 0.249 Ru
0.252 0.751 0.751 Ru
0.249 0.416 0.083 Ru
0.751 0.917 0.584 Ru
0.000 0.000 0.000 Tm
0.500 0.166 0.834 Dy
0.000 0.333 0.667 Dy
0.500 0.500 0.500 Dy
0.000 0.667 0.333 Dy
0.500 0.834 0.166 Dy

La2DyC2Br2 GGA-PBE optimized geometry; theoretical density = 6.21 g/cm3; uncorrected formation energy = -0.754 eV/atom
1.0
4.593 0.000 0.000
0.000 4.593 0.000
-2.297 -2.297 7.914
La Dy C Br
2 1 2 2
Direct
0.400 0.400 0.800 La
0.600 0.600 0.200 La
0.000 0.000 0.000 Dy
0.000 0.500 0.000 C
0.500 0.000 0.000 C
0.188 0.188 0.377 Br
0.812 0.812 0.623 Br

Ba4LaPb3O12 GGA-PBE optimized geometry; theoretical density = 7.21 g/cm3; uncorrected formation energy = -1.915 eV/atom
1.0
-0.209 6.321 4.318
2.787 -5.819 4.125
4.502 1.207 -6.076
Ba La Pb O
4 1 3 12
Direct
0.500 0.500 0.500 Ba
0.000 0.000 0.500 Ba
0.500 0.000 0.000 Ba
0.000 0.500 0.000 Ba
0.000 0.000 0.000 La
0.500 0.000 0.500 Pb
0.500 0.500 0.000 Pb
0.000 0.500 0.500 Pb
0.250 0.500 0.750 O
0.739 0.000 0.739 O
0.261 0.000 0.261 O
0.750 0.500 0.250 O
0.739 0.739 0.000 O
0.261 0.261 0.000 O
0.750 0.250 0.500 O
0.250 0.750 0.500 O
0.500 0.250 0.750 O
0.000 0.739 0.739 O
0.500 0.750 0.250 O
0.000 0.261 0.261 O

Pm4Mg3Zn4 GGA-PBE optimized geometry; theoretical density = 5.41 g/cm3; ΔH_f (0 K) = -75.6 meV/atom
1.0
3.703 0.000 0.000
0.000 9.544 0.000
-1.852 -4.772 7.938
Pm Mg Zn
4 3 4
Direct
0.342 0.159 0.684 Pm
0.658 0.474 0.316 Pm
0.658 0.841 0.316 Pm
0.342 0.526 0.684 Pm
0.111 0.111 0.222 Mg
0.889 0.889 0.778 Mg
0.000 0.500 0.000 Mg
0.264 0.764 0.528 Zn
0.736 0.236 0.472 Zn
0.500 0.859 0.000 Zn
0.500 0.141 0.000 Zn